Model P:
Density functional theory data (PBE) for a relaxed CrRe3Cl crystal.

symmetry = Pm-3m (221)

```
5
Lattice="4.523 0.000 0.000 0.000 4.523 0.000 0.000 0.000 4.523" Properties=species:S:1:pos:R:3 pbc="T T T"
Cr 0.000 0.000 0.000
Re 0.000 0.000 2.262
Re 0.000 2.262 0.000
Re 2.262 0.000 0.000
Cl 2.262 2.262 2.262
```

***

Model Q:
Density functional theory data (PBE) for a relaxed CrRe3Cl crystal.

symmetry = Pm-3m (221)

```
5
Lattice="4.303 0.000 0.000 0.000 4.303 0.000 0.000 0.000 4.303" Properties=species:S:1:pos:R:3 pbc="T T T"
Cr 0.000 0.000 0.000
Re 0.000 2.152 2.152
Re 2.152 0.000 2.152
Re 2.152 2.152 0.000
Cl 2.152 2.152 2.152
```

***

model Q takes first place; second place is 284 meV/atom up.

***

Model P:
Density functional theory data (PBE) for a relaxed CrReCl3 crystal.

symmetry = Pm-3m (221)

```
5
Lattice="4.754 0.000 0.000 0.000 4.754 0.000 0.000 0.000 4.754" Properties=species:S:1:pos:R:3 pbc="T T T"
Cr 0.000 0.000 0.000
Re 2.377 2.377 2.377
Cl 0.000 0.000 2.377
Cl 0.000 2.377 0.000
Cl 2.377 0.000 0.000
```

***

Model Q:
Density functional theory data (PBE) for a relaxed CrReCl3 crystal.

symmetry = Pm-3m (221)

```
5
Lattice="4.869 0.000 0.000 0.000 4.869 0.000 0.000 0.000 4.869" Properties=species:S:1:pos:R:3 pbc="T T T"
Cr 0.000 0.000 0.000
Re 2.434 2.434 2.434
Cl 0.000 2.434 2.434
Cl 2.434 0.000 2.434
Cl 2.434 2.434 0.000
```

***

model Q takes first place; second place is 401 meV/atom up.